Record 1
# PBE CdBOs2, optimized geometry
# **Offset from the most stable computed form**: 0 meV per atom
# **Space group**: No. 122
# **Magnetization**: 0.0 μB per cell
# **ΔE_f**: 1.027 eV per atom
data_CdBOs2
_cell_length_a 4.540
_cell_length_b 4.540
_cell_length_c 14.210
_cell_angle_alpha 90.00
_cell_angle_beta 90.00
_cell_angle_gamma 90.00
_symmetry_space_group_name_H-M 'P 1'
_symmetry_Int_Tables_number 1
loop_
_symmetry_equiv_pos_as_xyz
'x,y,z'
loop_
_atom_site_label
_atom_site_fract_x
_atom_site_fract_y
_atom_site_fract_z
Cd1 0.000 0.000 0.000
Cd2 0.000 0.500 0.250
Cd3 0.500 0.000 0.750
Cd4 0.500 0.500 0.500
B1 0.000 0.000 0.500
B2 0.000 0.500 0.750
B3 0.500 0.000 0.250
B4 0.500 0.500 0.000
Os1 0.094 0.250 0.625
Os2 0.250 0.594 0.875
Os3 0.250 0.906 0.375
Os4 0.406 0.250 0.125
Os5 0.594 0.750 0.125
Os6 0.750 0.094 0.375
Os7 0.750 0.406 0.875
Os8 0.906 0.750 0.625


Record 2
# PBE CdBOs3, optimized geometry
# **Offset from the most stable computed form**: 0 meV per atom
# **Space group**: No. 221
# **Magnetization**: 1.0 μB per cell
# **ΔE_f**: 0.539 eV per atom
data_CdBOs3
_cell_length_a 4.161
_cell_length_b 4.161
_cell_length_c 4.161
_cell_angle_alpha 90.00
_cell_angle_beta 90.00
_cell_angle_gamma 90.00
_symmetry_space_group_name_H-M 'P 1'
_symmetry_Int_Tables_number 1
loop_
_symmetry_equiv_pos_as_xyz
'x,y,z'
loop_
_atom_site_label
_atom_site_fract_x
_atom_site_fract_y
_atom_site_fract_z
Cd1 0.000 0.000 0.000
B1 0.500 0.500 0.500
Os1 0.000 0.500 0.500
Os2 0.500 0.000 0.500
Os3 0.500 0.500 0.000


Record 3
# PBE CdBOs2, optimized geometry
# **Offset from the most stable computed form**: 227 meV per atom
# **Space group**: No. 225
# **Magnetization**: 0.0 μB per cell
# **ΔE_f**: 1.253 eV per atom
data_CdBOs2
_cell_length_a 6.033
_cell_length_b 6.033
_cell_length_c 6.033
_cell_angle_alpha 90.00
_cell_angle_beta 90.00
_cell_angle_gamma 90.00
_symmetry_space_group_name_H-M 'P 1'
_symmetry_Int_Tables_number 1
loop_
_symmetry_equiv_pos_as_xyz
'x,y,z'
loop_
_atom_site_label
_atom_site_fract_x
_atom_site_fract_y
_atom_site_fract_z
Cd1 0.000 0.000 0.000
Cd2 0.000 0.500 0.500
Cd3 0.500 0.000 0.500
Cd4 0.500 0.500 0.000
B1 0.000 0.000 0.500
B2 0.000 0.500 0.000
B3 0.500 0.000 0.000
B4 0.500 0.500 0.500
Os1 0.250 0.250 0.250
Os2 0.250 0.250 0.750
Os3 0.250 0.750 0.250
Os4 0.250 0.750 0.750
Os5 0.750 0.250 0.250
Os6 0.750 0.250 0.750
Os7 0.750 0.750 0.250
Os8 0.750 0.750 0.750


Record 4
# PBE CdBOs3, optimized geometry
# **Offset from the most stable computed form**: 3483 meV per atom
# **Space group**: No. 221
# **Magnetization**: 5.4 μB per cell
# **ΔE_f**: 4.022 eV per atom
data_CdBOs3
_cell_length_a 4.879
_cell_length_b 4.879
_cell_length_c 4.879
_cell_angle_alpha 90.00
_cell_angle_beta 90.00
_cell_angle_gamma 90.00
_symmetry_space_group_name_H-M 'P 1'
_symmetry_Int_Tables_number 1
loop_
_symmetry_equiv_pos_as_xyz
'x,y,z'
loop_
_atom_site_label
_atom_site_fract_x
_atom_site_fract_y
_atom_site_fract_z
Cd1 0.000 0.000 0.000
B1 0.500 0.500 0.500
Os1 0.000 0.000 0.500
Os2 0.000 0.500 0.000
Os3 0.500 0.000 0.000


Record 5
# PBE CdB2OsPt, optimized geometry
# **Space group**: No. 123
# **Magnetization**: 0.0 μB per cell
# **ΔE_f**: 0.816 eV per atom
data_CdB2OsPt
_cell_length_a 4.035
_cell_length_b 4.035
_cell_length_c 5.207
_cell_angle_alpha 90.00
_cell_angle_beta 90.00
_cell_angle_gamma 90.00
_symmetry_space_group_name_H-M 'P 1'
_symmetry_Int_Tables_number 1
loop_
_symmetry_equiv_pos_as_xyz
'x,y,z'
loop_
_atom_site_label
_atom_site_fract_x
_atom_site_fract_y
_atom_site_fract_z
Cd1 0.000 0.000 0.000
B1 0.000 0.500 0.500
B2 0.500 0.000 0.500
Os1 0.500 0.500 0.500
Pt1 0.500 0.500 0.000


Record 6
# PBE Sc2CdBOs, optimized geometry
# **Space group**: No. 123
# **Magnetization**: 0.0 μB per cell
# **ΔE_f**: 1.999 eV per atom
data_Sc2CdBOs
_cell_length_a 5.122
_cell_length_b 5.122
_cell_length_c 4.817
_cell_angle_alpha 90.00
_cell_angle_beta 90.00
_cell_angle_gamma 90.00
_symmetry_space_group_name_H-M 'P 1'
_symmetry_Int_Tables_number 1
loop_
_symmetry_equiv_pos_as_xyz
'x,y,z'
loop_
_atom_site_label
_atom_site_fract_x
_atom_site_fract_y
_atom_site_fract_z
Sc1 0.000 0.500 0.000
Sc2 0.500 0.000 0.000
Cd1 0.000 0.000 0.000
B1 0.500 0.500 0.500
Os1 0.000 0.000 0.500


Record 7
# PBE CdSiB2Os, optimized geometry
# **Formation energy (no corrections)**: 2.368 eV/atom
# **Space group**: No. 123
# **Magnetization**: 0.8 μB per cell
data_CdSiB2Os
_cell_length_a 3.965
_cell_length_b 3.965
_cell_length_c 5.497
_cell_angle_alpha 90.00
_cell_angle_beta 90.00
_cell_angle_gamma 90.00
_symmetry_space_group_name_H-M 'P 1'
_symmetry_Int_Tables_number 1
loop_
_symmetry_equiv_pos_as_xyz
'x,y,z'
loop_
_atom_site_label
_atom_site_fract_x
_atom_site_fract_y
_atom_site_fract_z
Cd1 0.000 0.000 0.000
Si1 0.500 0.500 0.500
B1 0.000 0.500 0.000
B2 0.500 0.000 0.000
Os1 0.000 0.000 0.500


Record 8
# PBE Y2CdBOs, optimized geometry
# **Offset from the most stable computed form**: 0 meV per atom
# **Space group**: No. 123
# **Magnetization**: 0.0 μB per cell
# **ΔE_f**: -0.296 eV per atom
data_Y2CdBOs
_cell_length_a 5.112
_cell_length_b 5.112
_cell_length_c 4.011
_cell_angle_alpha 90.00
_cell_angle_beta 90.00
_cell_angle_gamma 90.00
_symmetry_space_group_name_H-M 'P 1'
_symmetry_Int_Tables_number 1
loop_
_symmetry_equiv_pos_as_xyz
'x,y,z'
loop_
_atom_site_label
_atom_site_fract_x
_atom_site_fract_y
_atom_site_fract_z
Y1 0.000 0.500 0.000
Y2 0.500 0.000 0.000
Cd1 0.000 0.000 0.500
B1 0.500 0.500 0.000
Os1 0.500 0.500 0.500